# MgAl2Co, relaxed, DFT PBE
# Spin magnetization (μB per atom): 0.000
# Formation energy from the elements (eV per atom): -0.029
# V (Å³ per atom): 14.471
data_MgAl2Co
_symmetry_space_group_name_H-M 'F -4 3 m'
_symmetry_Int_Tables_number 216
_symmetry_space_group_name_Hall 'F -4 2 3'
_cell_length_a 6.141
_cell_length_b 6.141
_cell_length_c 6.141
_cell_angle_alpha 90.00
_cell_angle_beta 90.00
_cell_angle_gamma 90.00
loop_
_atom_site_label
_atom_site_type_symbol
_atom_site_fract_x
_atom_site_fract_y
_atom_site_fract_z
Mg1 Mg 0.000 0.000 0.000
Al1 Al 0.000 0.000 0.500
Al2 Al 0.250 0.250 0.250
Co1 Co 0.250 0.250 0.750